# Nd2Y3Si4 (GGA-PBE, relaxed)
# Energy relative to the elements, uncorrected in eV/atom: -0.774
# Magnetization in μB per cell: 0.00
# DFT total energy in eV/atom: -6.399
data_Nd2Y3Si4
_space_group_name_H-M_alt 'P 1 21/c 1'
_space_group_IT_number 14
_cell_length_a 7.758
_cell_length_b 7.808
_cell_length_c 7.514
_cell_angle_alpha 90.00
_cell_angle_beta 106.69
_cell_angle_gamma 90.00
loop_
_space_group_symop_operation_xyz
'x,y,z'
'-x,-y,-z'
'-x,y+1/2,-z+1/2'
'x,-y+1/2,z+1/2'
loop_
_atom_site_label
_atom_site_type_symbol
_atom_site_fract_x
_atom_site_fract_y
_atom_site_fract_z
Nd1 Nd 0.199 0.179 0.085
Y1 Y 0.244 0.681 0.253
Y2 Y 0.500 0.000 0.500
Si1 Si 0.079 0.530 0.879
Si2 Si 0.493 0.118 0.877


# ScZn10Cu2 (GGA-PBE, relaxed)
# Calculated formation energy in eV/atom: -0.15
# Magnetization in μB per cell: 0.00
# DFT total energy in eV/atom: -2.248
data_ScZn10Cu2
_space_group_name_H-M_alt 'F m m m'
_space_group_IT_number 69
_space_group_name_Hall '-F 2 2'
_cell_length_a 5.057
_cell_length_b 12.358
_cell_length_c 12.422
_cell_angle_alpha 90.00
_cell_angle_beta 90.00
_cell_angle_gamma 90.00
loop_
_atom_site_label
_atom_site_type_symbol
_atom_site_fract_x
_atom_site_fract_y
_atom_site_fract_z
Sc1 Sc 0.000 0.000 0.000
Zn1 Zn 0.000 0.108 0.395
Zn2 Zn 0.000 0.177 0.170
Zn3 Zn 0.250 0.000 0.250
Cu1 Cu 0.250 0.250 0.000


# TmTh2Ni (GGA-PBE, relaxed)
# Calculated formation energy in eV/atom: -0.21
# Magnetization in μB per cell: 0.00
# Offset from the most stable computed form in meV per atom: 22
# DFT total energy in eV/atom: -6.478
data_TmTh2Ni
_space_group_name_H-M_alt 'P n m a'
_space_group_IT_number 62
_cell_length_a 6.962
_cell_length_b 9.936
_cell_length_c 6.148
_cell_angle_alpha 90.00
_cell_angle_beta 90.00
_cell_angle_gamma 90.00
loop_
_space_group_symop_operation_xyz
'x,y,z'
'-x,-y,-z'
'-x+1/2,-y,z+1/2'
'x+1/2,y,-z+1/2'
'x+1/2,-y+1/2,-z+1/2'
'-x+1/2,y+1/2,z+1/2'
'-x,y+1/2,-z'
'x,-y+1/2,z'
loop_
_atom_site_label
_atom_site_type_symbol
_atom_site_fract_x
_atom_site_fract_y
_atom_site_fract_z
Tm1 Tm 0.047 0.250 0.161
Th1 Th 0.184 0.063 0.656
Ni1 Ni 0.111 0.750 0.404